Entry 1:
VASP calculation (PBE-GGA) on a relaxed Li8Hg2Au crystal.

Cell lengths 4.3662, 6.2536, 7.5061 Å; angles 105.46, 106.91, 90.00 degrees
Positions (direct):
Li 0.4013 0.5659 0.8027
Li 0.6709 0.9050 0.3418
Li 0.8543 0.8212 0.7085
Li 0.9669 0.2557 0.9339
Li 0.1457 0.1788 0.2915
Li 0.3291 0.0950 0.6582
Li 0.5987 0.4341 0.1973
Li 0.0331 0.7443 0.0661
Hg 0.7888 0.3487 0.5777
Hg 0.2112 0.6513 0.4223
Au 0.5000 0.0000 0.0000

Output
Crystal system: monoclinic
Space-group type: C2/m
Electronic total energy, eV per cell: -22.68
Calculated density, g/cm3: 5.76
Energy relative to the lowest polymorph listed for this composition, kJ/mol of atoms: 0.0
ΔH_f (0 K), eV per atom: -0.3174
D(E_F), states/eV/cell: 4.3

=====

Entry 2:
VASP calculation (PBE-GGA) on a relaxed Nd4GaAg crystal.

Cell lengths 5.3403, 6.4806, 11.5346 Å; angles 90.00, 103.38, 90.00 degrees
Positions (direct):
Nd 0.8779 0.2897 0.7558
Nd 0.1221 0.7897 0.2442
Nd 0.4375 0.8546 0.8749
Nd 0.5625 0.3546 0.1251
Nd 0.7167 0.5522 0.4334
Nd 0.2833 0.0522 0.5666
Nd 0.6931 0.0748 0.3862
Nd 0.3069 0.5748 0.6138
Ga 0.8399 0.8155 0.6798
Ga 0.1601 0.3155 0.3202
Ag 0.5711 0.8467 0.1421
Ag 0.4289 0.3467 0.8579

Output
Crystal system: orthorhombic
Space-group type: Cmc2_1
Electronic total energy, eV per cell: -50.70
Calculated density, g/cm3: 6.45
Energy relative to the lowest polymorph listed for this composition, kJ/mol of atoms: 15.0
ΔH_f (0 K), eV per atom: -0.0671
D(E_F), states/eV/cell: 12.8

=====

Entry 3:
VASP calculation (PBE-GGA) on a relaxed KTaZn2 crystal.

Cell lengths 5.4084, 2.7109, 5.4089 Å; angles 89.98, 90.00, 90.00 degrees
Positions (direct):
K 0.0000 0.6250 0.3762
Ta 0.5000 0.6249 0.8747
Zn 0.0000 0.1248 0.8758
Zn 0.5000 0.1253 0.3733

Output
Crystal system: orthorhombic
Space-group type: Pmm2
Electronic total energy, eV per cell: -13.52
Calculated density, g/cm3: 7.35
Energy relative to the lowest polymorph listed for this composition, kJ/mol of atoms: 3.8
ΔH_f (0 K), eV per atom: 0.4944
D(E_F), states/eV/cell: 2.7

=====

Entry 4:
VASP calculation (PBE-GGA) on a relaxed TlHgI2Br crystal.

Cell lengths 5.9856, 5.9856, 5.5917 Å; angles 90.00, 90.00, 90.00 degrees
Positions (direct):
I 0.0000 0.5000 0.0000
I 0.5000 0.0000 0.0000
Tl 0.5000 0.5000 0.5000
Hg 0.0000 0.0000 0.0000
Br 0.0000 0.0000 0.5000

Output
Crystal system: tetragonal
Space-group type: P4/mmm
Electronic total energy, eV per cell: -9.30
ΔE_f (raw), meV/atom: -373
Calculated density, g/cm3: 6.12
D(E_F), states/eV/cell: 0.6

=====

Entry 5:
VASP calculation (PBE-GGA) on a relaxed Pa2InHg crystal.

Cell lengths 3.1685, 3.1685, 9.7235 Å; angles 90.00, 90.00, 90.00 degrees
Positions (direct):
Pa 0.0000 0.0000 0.7521
Pa 0.0000 0.0000 0.2479
Hg 0.5000 0.5000 0.0000
In 0.5000 0.5000 0.5000

Output
Crystal system: tetragonal
Space-group type: P4/mmm
Electronic total energy, eV per cell: -21.90
Calculated density, g/cm3: 13.23
Energy relative to the lowest polymorph listed for this composition, kJ/mol of atoms: 7.5
ΔH_f (0 K), eV per atom: 0.0338
D(E_F), states/eV/cell: 7.9

=====

Entry 6:
VASP calculation (PBE-GGA) on a relaxed Mg3SnPd2 crystal.

Cell lengths 4.3108, 3.8578, 6.8677 Å; angles 90.00, 108.29, 90.00 degrees
Positions (direct):
Mg 0.3231 0.0000 0.6462
Mg 0.6769 0.0000 0.3538
Mg 0.5000 0.5000 0.0000
Sn 0.0000 0.0000 0.0000
Pd 0.1643 0.5000 0.3286
Pd 0.8357 0.5000 0.6714

Output
Crystal system: orthorhombic
Space-group type: Cmmm
Electronic total energy, eV per cell: -22.18
Calculated density, g/cm3: 6.19
Energy relative to the lowest polymorph listed for this composition, kJ/mol of atoms: 4.0
ΔH_f (0 K), eV per atom: -0.5017
D(E_F), states/eV/cell: 2.1

=====

Entry 7:
VASP calculation (PBE-GGA) on a relaxed TcSb2Te crystal.

Cell lengths 6.5125, 6.5125, 7.7562 Å; angles 65.18, 65.18, 90.00 degrees
Positions (direct):
Sb 0.5566 0.1250 0.2500
Sb 0.1934 0.6250 0.2500
Sb 0.3750 0.4434 0.7500
Sb 0.8750 0.8066 0.7500
Te 0.0000 0.0000 0.0000
Te 0.7500 0.2500 0.5000
Tc 0.5000 0.5000 0.0000
Tc 0.2500 0.7500 0.5000

Output
Crystal system: tetragonal
Space-group type: I-42d
Electronic total energy, eV per cell: -39.66
ΔE_f (raw), meV/atom: 480
Calculated density, g/cm3: 5.89
Energy relative to the lowest polymorph listed for this composition, kJ/mol of atoms: 40.7
D(E_F), states/eV/cell: 8.9

=====

Entry 8:
VASP calculation (PBE-GGA) on a relaxed AcLaZnSi crystal.

Cell lengths 5.3683, 5.3683, 5.3683 Å; angles 60.00, 60.00, 60.00 degrees
Positions (direct):
Ac 0.0000 0.0000 0.0000
Si 0.7500 0.7500 0.7500
Zn 0.2500 0.2500 0.2500
La 0.5000 0.5000 0.5000

Output
Crystal system: cubic
Space-group type: F-43m
Electronic total energy, eV per cell: -17.24
ΔE_f (raw), meV/atom: -376
Calculated density, g/cm3: 6.97
Energy relative to the lowest polymorph listed for this composition, kJ/mol of atoms: 10.2
D(E_F), states/eV/cell: 3.5